Material: SrIn2GaRh
Method: DFT, GGA-PBE
State: relaxed

Summary:
Magnetization, μB/cell: 0.0
Energy of formation from the pure elements, eV/atom: -0.355
Energy, eV/atom: -3.862
Mass density, g/cm³: 6.25

abc: 5.1836 5.1836 4.8451
angles: 90.00 90.00 90.00
Last column: nearest neighbours and their distance in Å.
Atoms (fractional coordinates):
Sr 0.0000 0.0000 0.0000  8 In 3.55, 4 Ga 3.67
In 0.0000 0.5000 0.5000  2 Rh 2.59
In 0.5000 0.0000 0.5000  2 Rh 2.59
Ga 0.5000 0.5000 0.0000  2 Rh 2.42
Rh 0.5000 0.5000 0.5000  2 Ga 2.42, 4 In 2.59